Li3CuP2O7: optimized geometry, PBE-GGA.

## Properties
Formation energy from raw total energies (kcal/mol of atoms): -47.5
Crystal system: triclinic
N(E_F) (states/eV per atom): 0.000

Cell and atoms, written as extended XYZ:
```
26
Lattice="5.2138 0.0000 0.0000 2.5890 7.0453 0.0000 0.6503 2.9341 8.7328" Properties=species:S:1:pos:R:3 pbc="T T T"
Li 0.4470 1.0357 0.4921
Li 2.2484 2.5550 4.8597
Li 2.4843 1.6164 1.8731
Li 5.9688 8.3631 6.8597
Li 6.2047 7.4244 3.8731
Li 8.0062 8.9438 8.2407
Cu 1.2945 3.5227 0.0000
Cu 1.6197 4.9897 4.3664
P 3.5128 6.9287 5.7506
P 3.7041 4.2870 7.3629
P 4.7490 5.6925 1.3699
P 4.9403 3.0508 2.9822
O 2.6701 7.7402 6.7301
O 2.6686 6.5044 4.5246
O 3.4320 6.2160 0.8406
O 2.8349 4.8074 8.5595
O 2.9644 3.2736 6.5026
O 4.7967 7.6705 5.3424
O 4.0794 5.5958 6.4714
O 4.3737 4.3837 2.2614
O 3.6564 2.3090 3.3905
O 5.4888 6.7059 2.2302
O 5.6182 5.1720 0.1734
O 5.0211 3.7635 7.8922
O 5.7845 3.4751 4.2083
O 5.7830 2.2393 2.0027
```